VASP calculation (PBE) on a relaxed Sm6Ag2Sn crystal.

CIF file:
```
data_Sm6Ag2Sn
_cell_length_a 10.1554
_cell_length_b 10.1695
_cell_length_c 10.3448
_cell_angle_alpha 90.00
_cell_angle_beta 90.00
_cell_angle_gamma 90.00
_space_group_name_H-M_alt 'I m m m'
_space_group_IT_number 71
_space_group_name_Hall '-I 2 2'
loop_
_atom_site_label
_atom_site_fract_x
_atom_site_fract_y
_atom_site_fract_z
Sm1 0.0000 0.2015 0.2456
Sm2 0.2196 0.5000 0.1760
Sm3 0.2292 0.3186 0.5000
Ag1 0.0000 0.3587 0.0000
Ag2 0.0000 0.5000 0.3676
Sn1 0.0000 0.0000 0.0000
Sn2 0.0000 0.0000 0.5000
```

Computed properties:
Calculated total energy, eV per formula unit: -40.33
Formation energy, kJ/mol of formula units: -223
Total moment, μB/f.u.: 0.0
DOS(E_F), states/eV per atom: 1.14